1:
Computed, not measured: crystalline PmAl4Pt2 at its relaxed geometry at the PBE level of DFT.

a = 17.4439 Å, b = 4.3179 Å, c = 6.6536 Å
α = 90.00°, β = 90.00°, γ = 90.00°
Sites, in units of the cell vectors:
1 Pm 0.1393 0.2500 0.0116
2 Pm 0.3607 0.7500 0.5116
3 Pm 0.6393 0.2500 0.4884
4 Pm 0.8607 0.7500 0.9884
5 Al 0.0347 0.7500 0.8390
6 Al 0.0704 0.2500 0.4913
7 Al 0.1859 0.7500 0.3226
8 Al 0.1940 0.7500 0.7264
9 Al 0.3060 0.2500 0.2264
10 Al 0.3141 0.2500 0.8226
11 Al 0.4296 0.7500 0.9913
12 Al 0.4653 0.2500 0.3390
13 Al 0.5347 0.7500 0.6610
14 Al 0.5704 0.2500 0.0087
15 Al 0.6859 0.7500 0.1774
16 Al 0.6940 0.7500 0.7736
17 Al 0.8060 0.2500 0.2736
18 Al 0.8141 0.2500 0.6774
19 Al 0.9296 0.7500 0.5087
20 Al 0.9653 0.2500 0.1610
21 Pt 0.0374 0.7500 0.2471
22 Pt 0.2152 0.2500 0.5265
23 Pt 0.2848 0.7500 0.0265
24 Pt 0.4626 0.2500 0.7471
25 Pt 0.5374 0.7500 0.2529
26 Pt 0.7152 0.2500 0.9735
27 Pt 0.7848 0.7500 0.4735
28 Pt 0.9626 0.2500 0.7529

Output
The space group is Pnma.

2:
Computed, not measured: crystalline PmAl4Pt2 at its relaxed geometry at the PBE level of DFT.

a = 7.8242 Å, b = 7.8242 Å, c = 4.1395 Å
α = 90.00°, β = 90.00°, γ = 90.00°
Sites, in units of the cell vectors:
1 Pm 0.0000 0.0000 0.0000
2 Pm 0.5000 0.5000 0.5000
3 Al 0.0838 0.3358 0.5000
4 Al 0.1642 0.5838 0.0000
5 Al 0.3358 0.0838 0.5000
6 Al 0.4162 0.8358 0.0000
7 Al 0.5838 0.1642 0.0000
8 Al 0.6642 0.9162 0.5000
9 Al 0.8358 0.4162 0.0000
10 Al 0.9162 0.6642 0.5000
11 Pt 0.2194 0.7806 0.5000
12 Pt 0.2806 0.2806 0.0000
13 Pt 0.7194 0.7194 0.0000
14 Pt 0.7806 0.2194 0.5000

Output
The space group is P4_2/mnm.

Stability summary: most stable 1, least stable 2.

1:
Computed, not measured: crystalline PmAl4Pt at its relaxed geometry at the PBE level of DFT.

a = 4.1084 Å, b = 4.1084 Å, c = 8.0436 Å
α = 90.00°, β = 90.00°, γ = 90.00°
Sites, in units of the cell vectors:
1 Pm 0.0000 0.0000 0.0000
2 Al 0.0000 0.5000 0.3108
3 Al 0.0000 0.5000 0.6892
4 Al 0.5000 0.0000 0.3108
5 Al 0.5000 0.0000 0.6892
6 Pt 0.5000 0.5000 0.5000

Output
The space group is P4/mmm.

2:
Computed, not measured: crystalline PmAl4Pt at its relaxed geometry at the PBE level of DFT.

a = 8.2434 Å, b = 8.2434 Å, c = 6.7526 Å
α = 90.00°, β = 90.00°, γ = 150.14°
Sites, in units of the cell vectors:
1 Pm 0.1161 0.8839 0.7500
2 Pm 0.8839 0.1161 0.2500
3 Al 0.0698 0.9302 0.2500
4 Al 0.3153 0.6847 0.5514
5 Al 0.3153 0.6847 0.9486
6 Al 0.5000 0.5000 0.0000
7 Al 0.5000 0.5000 0.5000
8 Al 0.6847 0.3153 0.0514
9 Al 0.6847 0.3153 0.4486
10 Al 0.9302 0.0698 0.7500
11 Pt 0.2229 0.7771 0.2500
12 Pt 0.7771 0.2229 0.7500

Output
The space group is Cmcm.

Stability summary: most stable 2, least stable 1.

1:
Computed, not measured: crystalline PmAl3Pt2 at its relaxed geometry at the PBE level of DFT.

a = 7.7711 Å, b = 7.7711 Å, c = 8.1005 Å
α = 113.48°, β = 113.48°, γ = 31.52°
Sites, in units of the cell vectors:
1 Pm 0.1452 0.1452 0.0866
2 Pm 0.8548 0.8548 0.9134
3 Al 0.0192 0.0192 0.3477
4 Al 0.3218 0.3218 0.5532
5 Al 0.3765 0.3765 0.2581
6 Al 0.6235 0.6235 0.7419
7 Al 0.6782 0.6782 0.4468
8 Al 0.9808 0.9808 0.6523
9 Pt 0.1748 0.1748 0.6419
10 Pt 0.4857 0.4857 0.8259
11 Pt 0.5143 0.5143 0.1741
12 Pt 0.8252 0.8252 0.3581

Output
The space group is C2/m.

2:
Computed, not measured: crystalline PmAl3Pt2 at its relaxed geometry at the PBE level of DFT.

a = 8.5814 Å, b = 8.5814 Å, c = 10.0922 Å
α = 107.22°, β = 107.22°, γ = 28.31°
Sites, in units of the cell vectors:
1 Pm 0.0000 0.0000 0.0000
2 Pm 0.1568 0.1568 0.7057
3 Pm 0.8432 0.8432 0.2943
4 Al 0.0429 0.0429 0.3555
5 Al 0.2150 0.2150 0.3909
6 Al 0.3265 0.3265 0.0364
7 Al 0.3705 0.3705 0.7990
8 Al 0.5000 0.5000 0.5000
9 Al 0.6295 0.6295 0.2010
10 Al 0.6735 0.6735 0.9636
11 Al 0.7850 0.7850 0.6091
12 Al 0.9571 0.9571 0.6445
13 Pt 0.1972 0.1972 0.1278
14 Pt 0.3603 0.3603 0.5486
15 Pt 0.4749 0.4749 0.2210
16 Pt 0.5251 0.5251 0.7790
17 Pt 0.6397 0.6397 0.4514
18 Pt 0.8028 0.8028 0.8722

Output
The space group is C2/m.

Stability summary: most stable 2, least stable 1.

1:
Computed, not measured: crystalline Pm2Al2Pt3 at its relaxed geometry at the PBE level of DFT.

a = 5.8407 Å, b = 5.8407 Å, c = 7.2850 Å
α = 114.63°, β = 114.63°, γ = 39.03°
Sites, in units of the cell vectors:
1 Pm 0.1295 0.1295 0.2627
2 Pm 0.8705 0.8705 0.7373
3 Al 0.1473 0.1473 0.7313
4 Al 0.8527 0.8527 0.2687
5 Pt 0.3776 0.3776 0.0582
6 Pt 0.5000 0.5000 0.5000
7 Pt 0.6224 0.6224 0.9418

Output
The space group is C2/m.

2:
Computed, not measured: crystalline Pm2Al2Pt3 at its relaxed geometry at the PBE level of DFT.

a = 9.7325 Å, b = 9.7325 Å, c = 7.2571 Å
α = 90.00°, β = 90.00°, γ = 155.23°
Sites, in units of the cell vectors:
1 Pm 0.0612 0.9388 0.7500
2 Pm 0.1469 0.8531 0.2500
3 Pm 0.8531 0.1469 0.7500
4 Pm 0.9388 0.0612 0.2500
5 Al 0.3040 0.6960 0.0557
6 Al 0.3040 0.6960 0.4443
7 Al 0.6960 0.3040 0.5557
8 Al 0.6960 0.3040 0.9443
9 Pt 0.2266 0.7734 0.7500
10 Pt 0.4324 0.5676 0.5489
11 Pt 0.4324 0.5676 0.9511
12 Pt 0.5676 0.4324 0.0489
13 Pt 0.5676 0.4324 0.4511
14 Pt 0.7734 0.2266 0.2500

Output
The space group is Cmcm.

Stability summary: most stable 2, least stable 1.

1:
Computed, not measured: crystalline Pm2AlPt3 at its relaxed geometry at the PBE level of DFT.

a = 8.8270 Å, b = 8.5116 Å, c = 5.9012 Å
α = 73.01°, β = 67.25°, γ = 39.74°
Sites, in units of the cell vectors:
1 Pm 0.2448 0.7552 0.7552
2 Pm 0.2500 0.2500 0.2500
3 Pm 0.7500 0.7500 0.7500
4 Pm 0.7552 0.2448 0.2448
5 Al 0.3323 0.3323 0.6677
6 Al 0.6677 0.6677 0.3323
7 Pt 0.1720 0.1720 0.8280
8 Pt 0.1775 0.6464 0.3536
9 Pt 0.3536 0.8225 0.1775
10 Pt 0.6464 0.1775 0.8225
11 Pt 0.8225 0.3536 0.6464
12 Pt 0.8280 0.8280 0.1720

Output
The space group is Fmmm.

2:
Computed, not measured: crystalline Pm2AlPt3 at its relaxed geometry at the PBE level of DFT.

a = 5.3451 Å, b = 5.3451 Å, c = 5.3451 Å
α = 63.79°, β = 63.79°, γ = 63.79°
Sites, in units of the cell vectors:
1 Pm 0.1242 0.1242 0.1242
2 Pm 0.8758 0.8758 0.8758
3 Al 0.5000 0.5000 0.5000
4 Pt 0.0000 0.5000 0.5000
5 Pt 0.5000 0.0000 0.5000
6 Pt 0.5000 0.5000 0.0000

Output
The space group is R-3m.

Stability summary: most stable 2, least stable 1.

1:
Computed, not measured: crystalline PmYAlPt at its relaxed geometry at the PBE level of DFT.

a = 5.1069 Å, b = 5.1069 Å, c = 5.1069 Å
α = 60.00°, β = 60.00°, γ = 60.00°
Sites, in units of the cell vectors:
1 Pm 0.0000 0.0000 0.0000
2 Y 0.5000 0.5000 0.5000
3 Al 0.2500 0.2500 0.2500
4 Pt 0.7500 0.7500 0.7500

Output
The space group is F-43m.

2:
Computed, not measured: crystalline PmYAlPt at its relaxed geometry at the PBE level of DFT.

a = 3.9733 Å, b = 6.1027 Å, c = 6.1027 Å
α = 41.60°, β = 90.00°, γ = 90.00°
Sites, in units of the cell vectors:
1 Pm 0.0000 0.0000 0.0000
2 Y 0.5000 0.7096 0.7096
3 Al 0.5000 0.4091 0.4091
4 Pt 0.0000 0.2639 0.2639

Output
The space group is Amm2.

Stability summary: most stable 2, least stable 1.